Run a
Compound: YNbAu2
Source: Alexandria
Functional: PBE-GGA
Structure: relaxed

Cell lengths 4.9081, 4.9081, 4.9081 Å; angles 60.00, 60.00, 60.00 degrees
Last column: nearest neighbours and their distance in Å.
Fractional positions:
Au1 0.2500 0.2500 0.2500  4 Nb 3.01, 4 Y 3.01
Y1 0.0000 0.0000 0.0000  8 Au 3.01
Au2 0.7500 0.7500 0.7500  4 Y 3.01, 4 Nb 3.01
Nb1 0.5000 0.5000 0.5000  8 Au 3.01

Its space group is Fm-3m (225).

Run b
Compound: YNbAu2
Source: Alexandria
Functional: PBE-GGA
Structure: relaxed

Cell lengths 7.7493, 7.7493, 6.2429 Å; angles 51.64, 51.64, 90.00 degrees
Last column: nearest neighbours and their distance in Å.
Fractional positions:
Y1 0.2500 0.7500 0.5000  2 Nb 2.99, 4 Au 3.01
Nb1 0.7500 0.2500 0.5000  4 Au 2.68, 2 Y 2.99
Nb2 0.0000 0.0000 0.0000  4 Au 2.68, 2 Y 2.99
Au1 0.6569 0.1250 0.2500  2 Nb 2.68
Au2 0.8750 0.9069 0.7500  2 Nb 2.68
Au3 0.3750 0.3431 0.7500  2 Nb 2.68
Au4 0.0931 0.6250 0.2500  2 Nb 2.68
Y2 0.5000 0.5000 0.0000  2 Nb 2.99, 4 Au 3.01

Its space group is I-42d (122).

run a is favored, and the nearest alternative lies 294 meV per atom above it.

Run a
Compound: Y2NbAu
Source: Alexandria
Functional: PBE-GGA
Structure: relaxed

Cell lengths 4.4175, 4.4175, 10.5712 Å; angles 77.94, 77.94, 90.00 degrees
Last column: nearest neighbours and their distance in Å.
Fractional positions:
Au1 0.7500 0.2500 0.5000  4 Y 2.97, 4 Nb 3.12
Y1 0.6269 0.1250 0.2500  2 Au 2.97, 2 Nb 2.97, 4 Y 3.11-3.14
Y2 0.8750 0.8769 0.7500  2 Au 2.97, 2 Nb 2.97, 4 Y 3.11-3.14
Y3 0.1231 0.6250 0.2500  2 Au 2.97, 2 Nb 2.97, 4 Y 3.11-3.14
Nb1 0.2500 0.7500 0.5000  4 Y 2.97, 4 Au 3.12
Nb2 0.5000 0.5000 0.0000  4 Y 2.97, 4 Au 3.12
Y4 0.3750 0.3731 0.7500  2 Au 2.97, 2 Nb 2.97, 4 Y 3.11-3.14
Au2 0.0000 0.0000 0.0000  4 Y 2.97, 4 Nb 3.12

Its space group is I-42d (122).

Run b
Compound: Y2NbAu
Source: Alexandria
Functional: PBE-GGA
Structure: relaxed

Cell lengths 5.1243, 5.1243, 5.1243 Å; angles 60.00, 60.00, 60.00 degrees
Last column: nearest neighbours and their distance in Å.
Fractional positions:
Au1 0.5000 0.5000 0.5000  8 Y 3.14
Y1 0.2500 0.2500 0.2500  4 Nb 3.14, 4 Au 3.14
Nb1 0.0000 0.0000 0.0000  8 Y 3.14
Y2 0.7500 0.7500 0.7500  4 Nb 3.14, 4 Au 3.14

Its space group is Fm-3m (225).

run b is favored, and the nearest alternative lies 461 meV per atom above it.

Run a
Compound: YNb3Au
Source: Alexandria
Functional: PBE-GGA
Structure: relaxed

Cell lengths 5.0419, 5.0419, 5.0419 Å; angles 90.00, 90.00, 90.00 degrees
Last column: nearest neighbours and their distance in Å.
Fractional positions:
Au1 0.0000 0.0000 0.0000  6 Nb 2.52
Y1 0.5000 0.5000 0.5000  12 Nb 3.57
Nb1 0.0000 0.5000 0.0000  2 Au 2.52
Nb2 0.0000 0.0000 0.5000  2 Au 2.52
Nb3 0.5000 0.0000 0.0000  2 Au 2.52

Its space group is Pm-3m (221).

Run b
Compound: YNb3Au
Source: Alexandria
Functional: PBE-GGA
Structure: relaxed

Cell lengths 4.8948, 4.8948, 4.8948 Å; angles 90.00, 90.00, 90.00 degrees
Last column: nearest neighbours and their distance in Å.
Fractional positions:
Nb1 0.0000 0.5000 0.0000  2 Y 2.45
Nb2 0.0000 0.0000 0.5000  2 Y 2.45
Y1 0.0000 0.0000 0.0000  6 Nb 2.45
Nb3 0.5000 0.0000 0.0000  2 Y 2.45
Au1 0.5000 0.5000 0.5000  12 Nb 3.46

Its space group is Pm-3m (221).

run a is favored, and the nearest alternative lies 832 meV per atom above it.

Run a
Compound: YNbAu3
Source: Alexandria
Functional: PBE-GGA
Structure: relaxed

Cell lengths 5.1455, 5.1455, 5.1455 Å; angles 90.00, 90.00, 90.00 degrees
Last column: nearest neighbours and their distance in Å.
Fractional positions:
Y1 0.0000 0.0000 0.0000  6 Au 2.57
Nb1 0.5000 0.5000 0.5000  12 Au 3.64
Au1 0.0000 0.5000 0.0000  2 Y 2.57
Au2 0.5000 0.0000 0.0000  2 Y 2.57
Au3 0.0000 0.0000 0.5000  2 Y 2.57

Its space group is Pm-3m (221).

Run b
Compound: YNbAu3
Source: Alexandria
Functional: PBE-GGA
Structure: relaxed

Cell lengths 5.0786, 5.0786, 5.0786 Å; angles 90.00, 90.00, 90.00 degrees
Last column: nearest neighbours and their distance in Å.
Fractional positions:
Au1 0.0000 0.5000 0.0000  2 Nb 2.54
Nb1 0.0000 0.0000 0.0000  6 Au 2.54
Au2 0.0000 0.0000 0.5000  2 Nb 2.54
Y1 0.5000 0.5000 0.5000  12 Au 3.59
Au3 0.5000 0.0000 0.0000  2 Nb 2.54

Its space group is Pm-3m (221).

run b is favored, and the nearest alternative lies 780 meV per atom above it.